Below is a PBEsol-optimized structure of Mn3AgCl, with properties calculated at the SCAN level.

Properties
The value obtained for the mass density is 6.798 g/cm³. For the total energy, the calculation gives -18.38 eV/atom.

a b c (Å): 4.222 4.222 4.222
angles (deg): 90.00 90.00 90.00
Space group Pm-3m (No. 221)
Inequivalent atoms, fractional coordinates:
Mn  0.000  0.000  0.500 [3 per cell]
Ag  0.500  0.500  0.500 [1 per cell]
Cl  0.000  0.000  0.000 [1 per cell]